A plane-wave DFT calculation with PBEsol was carried out for a relaxed structure of IrSCl2.

Computed properties:
The space group is Fm-3m (225). As for the final energy: -3.36 eV/atom. For the total magnetization, the calculation gives 0.0002 μB per atom. The value obtained for the formation energy (no corrections) is 1.19 eV per atom.

Cell: 6.302 6.302 6.302 Å, 90.00 90.00 90.00°
Sites, in units of the cell vectors:
Ir (0.000, 0.000, 0.000)
Ir (0.000, 0.500, 0.500)
Ir (0.500, 0.000, 0.500)
Ir (0.500, 0.500, 0.000)
S (0.000, 0.000, 0.500)
S (0.000, 0.500, 0.000)
S (0.500, 0.000, 0.000)
S (0.500, 0.500, 0.500)
Cl (0.250, 0.250, 0.250)
Cl (0.250, 0.250, 0.750)
Cl (0.250, 0.750, 0.250)
Cl (0.250, 0.750, 0.750)
Cl (0.750, 0.250, 0.250)
Cl (0.750, 0.250, 0.750)
Cl (0.750, 0.750, 0.250)
Cl (0.750, 0.750, 0.750)


A plane-wave DFT calculation with PBEsol was carried out for a relaxed structure of Ba2TcAg.

Computed properties:
The space group is R-3m (166). As for the final energy: -3.84 eV/atom. For the total magnetization, the calculation gives 0.0002 μB per atom. For the calculated formation energy, the calculation gives 0.875 eV/atom. Its energy relative to the lowest polymorph listed for this composition is 49 kJ/mol of formula units.

Cell: 3.645 3.645 29.376 Å, 90.00 90.00 120.00°
Sites, in units of the cell vectors:
Ba (0.000, 0.000, 0.243)
Ba (0.000, 0.000, 0.757)
Ba (0.333, 0.667, 0.424)
Ba (0.333, 0.667, 0.910)
Ba (0.667, 0.333, 0.090)
Ba (0.667, 0.333, 0.576)
Tc (0.000, 0.000, 0.500)
Tc (0.333, 0.667, 0.167)
Tc (0.667, 0.333, 0.833)
Ag (0.000, 0.000, 0.000)
Ag (0.333, 0.667, 0.667)
Ag (0.667, 0.333, 0.333)